RbB4W: relaxed, PBE-GGA.

Cell lengths 5.0066, 5.0066, 5.0066 Å; angles 144.87, 109.80, 80.99 degrees
Last column: nearest neighbours and their distance in Å.
Atoms (fractional coordinates):
1 B 0.6077 0.2690 0.3387  3 B 1.85-1.86
2 B 0.0697 0.7310 0.3387  3 B 1.85-1.86
3 B 0.9303 0.2690 0.6613  3 B 1.85-1.86
4 B 0.3923 0.7310 0.6613  3 B 1.85-1.86
5 W 0.0000 0.0000 0.0000  8 B 2.50
6 Rb 0.5000 0.5000 0.0000  12 B 2.63-2.71

Properties
Density in Mg/m³: 7.8
Offset from the most stable computed form in kJ per mole of atoms: 80.2
Symmetry: Immm
Raw total energy in eV per formula unit: -35.40

=====

RbB4W: relaxed, PBE-GGA.

Cell lengths 3.0424, 3.0424, 8.6085 Å; angles 90.00, 90.00, 120.00 degrees
Last column: nearest neighbours and their distance in Å.
Atoms (fractional coordinates):
1 B 0.6667 0.3333 0.6920  3 B 1.76
2 B 0.3333 0.6667 0.6920  3 B 1.76
3 B 0.6667 0.3333 0.3080  3 B 1.76
4 B 0.3333 0.6667 0.3080  3 B 1.76
5 W 0.0000 0.0000 0.5000  12 B 2.41
6 Rb 0.0000 0.0000 0.0000  6 Rb 3.04, 12 B 3.18

Properties
Density in Mg/m³: 7.5
Offset from the most stable computed form in kJ per mole of atoms: 0.0
Symmetry: P6/mmm
Raw total energy in eV per formula unit: -40.38

=====

RbZnB4: relaxed, PBE-GGA.

Cell lengths 3.0954, 3.0954, 8.6282 Å; angles 90.00, 90.00, 120.00 degrees
Last column: nearest neighbours and their distance in Å.
Atoms (fractional coordinates):
1 B 0.3333 0.6667 0.6926  3 B 1.79
2 B 0.6667 0.3333 0.3074  3 B 1.79
3 B 0.6667 0.3333 0.6926  3 B 1.79
4 B 0.3333 0.6667 0.3074  3 B 1.79
5 Rb 0.0000 0.0000 0.0000  6 Rb 3.10, 12 B 3.20
6 Zn 0.0000 0.0000 0.5000  12 B 2.44

Properties
Density in Mg/m³: 4.5
Offset from the most stable computed form in kJ per mole of atoms: 0.0
Symmetry: P6/mmm
Raw total energy in eV per formula unit: -26.16

=====

RbZnB4: relaxed, PBE-GGA.

Cell lengths 5.8795, 5.8795, 5.8795 Å; angles 153.25, 121.44, 65.51 degrees
Last column: nearest neighbours and their distance in Å.
Atoms (fractional coordinates):
1 B 0.3889 0.7403 0.6487  3 B 1.71-1.80
2 B 0.0916 0.7403 0.3513  3 B 1.71-1.80
3 B 0.6111 0.2597 0.3513  3 B 1.71-1.80
4 B 0.9084 0.2597 0.6487  3 B 1.71-1.80
5 Rb 0.5000 0.5000 0.0000  2 Rb 2.72, 8 B 3.03
6 Zn 0.0000 0.0000 0.0000  2 Zn 2.72, 8 B 2.87

Properties
Density in Mg/m³: 4.2
Offset from the most stable computed form in kJ per mole of atoms: 23.6
Symmetry: Immm
Raw total energy in eV per formula unit: -24.69